VASP calculation (PBE-GGA) on NdDyCoI after structural relaxation.

As for the volume: 27.7 Å³ per atom. Its spin magnetization is 0.00 Bohr magnetons per cell. The calculation puts the uncorrected energy at -5.073 eV/atom.

Unit cell a=8.3462 b=8.3462 c=8.3462 alpha=27.70 beta=27.70 gamma=27.70
Last column: nearest neighbours and their distance in Å.
Atoms (fractional coordinates):
Nd: 0.0000 0.0000 0.0000  3 Co 2.75
Dy: 0.2132 0.2132 0.2132  3 Co 2.70
Co: 0.6048 0.6048 0.6048  3 Dy 2.70, 3 Nd 2.75
I: 0.7769 0.7769 0.7769  3 Dy 3.39, 3 Nd 3.51


VASP calculation (PBE-GGA) on SmDyCoI after structural relaxation.

As for the volume: 27.3 Å³ per atom. Its spin magnetization is 0.00 Bohr magnetons per cell. The calculation puts the uncorrected energy at -5.064 eV/atom.

Unit cell a=8.2850 b=8.2850 c=8.2850 alpha=27.78 beta=27.78 gamma=27.78
Last column: nearest neighbours and their distance in Å.
Atoms (fractional coordinates):
Sm: 0.0000 0.0000 0.0000  3 Co 2.72
Dy: 0.2137 0.2137 0.2137  3 Co 2.69
Co: 0.6057 0.6057 0.6057  3 Dy 2.69, 3 Sm 2.72
I: 0.7761 0.7761 0.7761  3 Dy 3.39, 3 Sm 3.48


VASP calculation (PBE-GGA) on DyYCoI after structural relaxation.

As for the volume: 26.8 Å³ per atom. Its spin magnetization is 0.00 Bohr magnetons per cell. The calculation puts the uncorrected energy at -5.491 eV/atom.

Unit cell a=8.1848 b=8.1848 c=8.1848 alpha=28.04 beta=28.04 gamma=28.04
Last column: nearest neighbours and their distance in Å.
Atoms (fractional coordinates):
Dy: 0.0000 0.0000 0.0000  3 Co 2.67
Y: 0.7852 0.7852 0.7852  3 Co 2.70
Co: 0.3916 0.3916 0.3916  3 Dy 2.67, 3 Y 2.70
I: 0.2237 0.2237 0.2237  3 Y 3.37, 3 Dy 3.45


VASP calculation (PBE-GGA) on Dy4In2Co after structural relaxation.

For the formation energy, the calculation gives -0.2088 eV per atom. As for the volume: 27.9 Å³ per atom. Its spin magnetization is 0.00 Bohr magnetons per cell. The energy above the most stable polymorph in this dataset comes out at 0 meV per atom. The calculation puts the uncorrected energy at -4.636 eV/atom.

Unit cell a=6.4150 b=3.6176 c=8.9604 alpha=90.00 beta=110.23 gamma=90.00
Last column: nearest neighbours and their distance in Å.
Atoms (fractional coordinates):
Dy: 0.1275 0.0000 0.2606  1 Co 2.60
Dy: 0.3385 0.5000 0.6472  2 Co 2.65
Dy: 0.6615 0.5000 0.3528  2 Co 2.65
Dy: 0.8725 0.0000 0.7394  1 Co 2.60
In: 0.2638 0.5000 0.9975  1 In 3.01, 6 Dy 3.30-3.34
In: 0.7362 0.5000 0.0025  1 In 3.01, 6 Dy 3.30-3.34
Co: 0.5000 0.0000 0.5000  6 Dy 2.60-2.65


VASP calculation (PBE-GGA) on DyInCo2 after structural relaxation.

For the formation energy, the calculation gives -0.0706 eV per atom. As for the volume: 16.6 Å³ per atom. Its spin magnetization is 0.00 Bohr magnetons per cell. The calculation puts the uncorrected energy at -5.459 eV/atom.

Unit cell a=4.4157 b=4.4157 c=3.3977 alpha=90.00 beta=90.00 gamma=90.00
Last column: nearest neighbours and their distance in Å.
Atoms (fractional coordinates):
Dy: 0.0000 0.0000 0.0000  8 Co 2.79
In: 0.5000 0.5000 0.0000  8 Co 2.79
Co: 0.0000 0.5000 0.5000  4 In 2.79, 4 Dy 2.79
Co: 0.5000 0.0000 0.5000  4 In 2.79, 4 Dy 2.79


VASP calculation (PBE-GGA) on Dy3InCo2 after structural relaxation.

For the formation energy, the calculation gives -0.2485 eV per atom. As for the volume: 23.5 Å³ per atom. Its spin magnetization is 1.91 Bohr magnetons per cell. The calculation puts the uncorrected energy at -5.375 eV/atom.

Unit cell a=3.8111 b=10.1290 c=7.2991 alpha=90.00 beta=90.00 gamma=90.00
Last column: nearest neighbours and their distance in Å.
Atoms (fractional coordinates):
Dy: 0.0000 0.0434 0.0000  6 Co 2.80-2.98
Dy: 0.0000 0.9566 0.5000  6 Co 2.80-2.98
Dy: 0.5000 0.2726 0.3947  3 Co 2.81-2.94
Dy: 0.5000 0.3300 0.8914  3 Co 2.75-2.79
Dy: 0.5000 0.6700 0.3914  3 Co 2.75-2.79
Dy: 0.5000 0.7274 0.8947  3 Co 2.81-2.94
In: 0.0000 0.4904 0.6345  1 Co 2.84, 4 Dy 3.13-3.18
In: 0.0000 0.5096 0.1345  1 Co 2.84, 4 Dy 3.13-3.18
Co: 0.0000 0.2111 0.6652  2 Co 2.28
Co: 0.0000 0.7889 0.1652  2 Co 2.28
Co: 0.5000 0.0918 0.7100  2 Co 2.28
Co: 0.5000 0.9082 0.2100  2 Co 2.28


VASP calculation (PBE-GGA) on Dy5InCo after structural relaxation.

For the formation energy, the calculation gives -0.0976 eV per atom. As for the volume: 27.9 Å³ per atom. Its spin magnetization is 0.00 Bohr magnetons per cell. The calculation puts the uncorrected energy at -4.791 eV/atom.

Unit cell a=6.4334 b=6.4334 c=11.2320 alpha=107.40 beta=107.40 gamma=63.74
Last column: nearest neighbours and their distance in Å.
Atoms (fractional coordinates):
Dy: 0.0185 0.9815 0.7500  2 Co 2.81
Dy: 0.0264 0.4018 0.6364  1 Co 2.63
Dy: 0.1991 0.5583 0.9544  1 Co 2.51
Dy: 0.4018 0.0264 0.1364  1 Co 2.63
Dy: 0.4417 0.8009 0.5456  1 Co 2.51
Dy: 0.5583 0.1991 0.4544  1 Co 2.51
Dy: 0.5982 0.9736 0.8636  1 Co 2.63
Dy: 0.8009 0.4417 0.0456  1 Co 2.51
Dy: 0.9736 0.5982 0.3636  1 Co 2.63
Dy: 0.9815 0.0185 0.2500  2 Co 2.81
In: 0.4701 0.5299 0.2500  10 Dy 3.27-3.59
In: 0.5299 0.4701 0.7500  10 Dy 3.27-3.59
Co: 0.0000 0.0000 0.0000  4 Dy 2.51-2.63
Co: 0.0000 0.0000 0.5000  4 Dy 2.51-2.63


VASP calculation (PBE-GGA) on Dy4In2Co after structural relaxation.

For the formation energy, the calculation gives -0.1720 eV per atom. As for the volume: 28.4 Å³ per atom. Its spin magnetization is 0.00 Bohr magnetons per cell. The energy above the most stable polymorph in this dataset comes out at 37 meV per atom. The calculation puts the uncorrected energy at -4.599 eV/atom.

Unit cell a=8.7605 b=8.7605 c=8.7605 alpha=146.98 beta=146.98 gamma=47.39
Last column: nearest neighbours and their distance in Å.
Atoms (fractional coordinates):
Dy: 0.0000 0.5000 0.5000  2 Co 2.49
Dy: 0.1726 0.1726 0.0000  1 Co 2.77, 1 In 3.09
Dy: 0.5000 0.0000 0.5000  2 Co 2.49
Dy: 0.8274 0.8274 0.0000  1 Co 2.77, 1 In 3.09
In: 0.3650 0.3650 0.0000  5 Dy 3.09-3.30
In: 0.6350 0.6350 0.0000  5 Dy 3.09-3.30
Co: 0.0000 0.0000 0.0000  6 Dy 2.49-2.77


VASP calculation (PBE-GGA) on Dy7In2Co2 after structural relaxation.

For the formation energy, the calculation gives -0.2371 eV per atom. As for the volume: 26.3 Å³ per atom. Its spin magnetization is 0.00 Bohr magnetons per cell. The calculation puts the uncorrected energy at -4.956 eV/atom.

Unit cell a=9.7151 b=9.7151 c=9.7151 alpha=158.74 beta=65.59 gamma=118.77
Last column: nearest neighbours and their distance in Å.
Atoms (fractional coordinates):
Dy: 0.0000 0.0000 0.0000  3 In 3.19-3.22
Dy: 0.3032 0.4398 0.8634  2 Co 2.73
Dy: 0.3111 0.6303 0.6808  2 Co 2.77
Dy: 0.5764 0.4398 0.1366  2 Co 2.73
Dy: 0.6289 0.2825 0.3464  2 Co 2.74
Dy: 0.9361 0.2825 0.6536  2 Co 2.74
Dy: 0.9495 0.6303 0.3192  2 Co 2.77
In: 0.2665 0.7665 0.5000  8 Dy 3.19-3.34
In: 0.6744 0.6744 0.0000  7 Dy 3.22-3.26, 2 In 3.58
Co: 0.1764 0.9389 0.2375  6 Dy 2.73-2.77
Co: 0.7014 0.9389 0.7625  6 Dy 2.73-2.77


VASP calculation (PBE-GGA) on Dy12InCo5 after structural relaxation.

For the formation energy, the calculation gives -0.2425 eV per atom. As for the volume: 24.2 Å³ per atom. Its spin magnetization is 0.00 Bohr magnetons per cell. The calculation puts the uncorrected energy at -5.437 eV/atom.

Unit cell a=8.2781 b=8.2781 c=8.2781 alpha=110.68 beta=110.59 gamma=107.17
Last column: nearest neighbours and their distance in Å.
Atoms (fractional coordinates):
Dy: 0.0158 0.2079 0.8079  2 Co 2.70-2.73
Dy: 0.1859 0.2930 0.4790  2 Co 2.84
Dy: 0.1859 0.7070 0.8929  2 Co 2.84
Dy: 0.3145 0.0095 0.6950  3 Co 2.70-2.83
Dy: 0.3145 0.6196 0.3050  3 Co 2.70-2.83
Dy: 0.4000 0.2079 0.1921  2 Co 2.70-2.73
Dy: 0.6000 0.7921 0.8079  2 Co 2.70-2.73
Dy: 0.6855 0.3804 0.6950  3 Co 2.70-2.83
Dy: 0.6855 0.9905 0.3050  3 Co 2.70-2.83
Dy: 0.8141 0.2930 0.1071  2 Co 2.84
Dy: 0.8141 0.7070 0.5210  2 Co 2.84
Dy: 0.9842 0.7921 0.1921  2 Co 2.70-2.73
In: 0.5000 0.5000 0.0000  12 Dy 3.39-3.54
Co: 0.0000 0.0000 0.0000  4 Dy 2.73
Co: 0.1126 0.6126 0.5000  1 Co 2.21
Co: 0.3787 0.0000 0.3787  1 Co 2.29
Co: 0.6213 0.0000 0.6213  1 Co 2.29
Co: 0.8874 0.3874 0.5000  1 Co 2.21


> The highest spin magnetization belongs to which entry?

Dy3InCo2


> The highest uncorrected energy belongs to which entry?

number 8


> What is the uncorrected energy in the fourth record?

-4.636 eV/atom


> Look up the uncorrected energy of the ninth one.

-4.956 eV/atom